Entry 1:
The following is a DFT calculation (PBE-GGA) of crystalline TlPtW2 at its relaxed geometry.

Values from the calculation:
Space group: P4mm
Formation energy from the elements: 0.4061 eV per atom
Excess energy over the best structure of this formula in the dataset: 23 meV/atom
M_tot: 0.0 μB per formula unit

Unit cell a=2.854 b=2.854 c=8.750 alpha=90.00 beta=90.00 gamma=90.00
Positions (direct):
Tl1 0.000 0.000 0.000
Pt1 0.500 0.500 0.722
W1 0.000 0.000 0.512
W2 0.500 0.500 0.271

---

Entry 2:
The following is a DFT calculation (PBE-GGA) of crystalline KAsSe2S at its relaxed geometry.

Values from the calculation:
Space group: P4/mmm
Excess energy over the best structure of this formula in the dataset: 1440 meV/atom
M_tot: 4.8 μB per formula unit
Energy relative to the elements, uncorrected: 1.54 eV per atom

Unit cell a=5.838 b=5.838 c=5.986 alpha=90.00 beta=90.00 gamma=90.00
Positions (direct):
K1 0.000 0.000 0.000
As1 0.000 0.000 0.500
Se1 0.000 0.500 0.000
Se2 0.500 0.000 0.000
S1 0.500 0.500 0.500

---

Entry 3:
The following is a DFT calculation (PBE-GGA) of crystalline Er2TmCdPd4 at its relaxed geometry.

Values from the calculation:
Space group: R-3m
Formation energy from the elements: -0.8473 eV per atom
M_tot: 0.0 μB per formula unit

Unit cell a=8.389 b=8.389 c=8.389 alpha=33.53 beta=33.53 gamma=33.53
Positions (direct):
Er1 0.245 0.245 0.245
Er2 0.755 0.755 0.755
Tm1 0.000 0.000 0.000
Cd1 0.500 0.500 0.500
Pd1 0.121 0.121 0.121
Pd2 0.372 0.372 0.372
Pd3 0.628 0.628 0.628
Pd4 0.879 0.879 0.879